NaY2Zr GGA-PBE optimized geometry; energy above the most stable polymorph in this dataset = 0.0 meV/atom; density of states at the Fermi level = 3.8 states/eV/f.u.; formation enthalpy at 0 K = 0.12 eV per atom
1.0
3.4331 0.0000 0.0000
0.0000 3.4331 0.0000
0.0000 0.0000 10.3551
Zr Y Na
1 2 1
Direct
0.5000 0.5000 0.0000
0.0000 0.0000 0.7843
0.0000 0.0000 0.2157
0.5000 0.5000 0.5000

NaTl3Cd3 GGA-PBE optimized geometry; energy above the most stable polymorph in this dataset = 289.3 meV/atom; density of states at the Fermi level = 5.9 states/eV/f.u.; formation enthalpy at 0 K = 0.27 eV per atom
1.0
8.2696 0.0000 0.0000
0.0000 8.2696 0.0000
0.0000 0.0000 8.2696
Tl Cd Na
6 6 2
Direct
0.5000 0.7500 0.0000
0.0000 0.5000 0.7500
0.2500 0.0000 0.5000
0.7500 0.0000 0.5000
0.5000 0.2500 0.0000
0.0000 0.5000 0.2500
0.5000 0.0000 0.7500
0.0000 0.2500 0.5000
0.5000 0.0000 0.2500
0.2500 0.5000 0.0000
0.7500 0.5000 0.0000
0.0000 0.7500 0.5000
0.5000 0.5000 0.5000
0.0000 0.0000 0.0000

ScIr2Os2 GGA-PBE optimized geometry; density of states at the Fermi level = 6.1 states/eV/f.u.; formation enthalpy at 0 K = -0.11 eV per atom
1.0
-6.9791 2.5772 1.5780
-0.3552 -4.6434 6.0127
1.0950 1.9863 1.5987
Ir Sc Os
4 2 4
Direct
0.6773 0.8227 0.5000
0.8227 0.3227 0.5000
0.1773 0.6773 0.5000
0.3227 0.1773 0.5000
0.5000 0.5000 0.0000
0.0000 0.0000 0.0000
0.1208 0.3792 0.0000
0.6208 0.1208 0.0000
0.3792 0.8792 0.0000
0.8792 0.6208 0.0000

Ga2FeRu GGA-PBE optimized geometry; density of states at the Fermi level = 3.3 states/eV/f.u.; formation enthalpy at 0 K = -0.19 eV per atom
1.0
3.0242 0.0000 0.0000
0.0000 4.1958 0.0000
0.0000 0.0000 4.1958
Ru Ga Fe
1 2 1
Direct
0.5000 0.0000 0.0000
0.0000 0.0000 0.5000
0.0000 0.5000 0.0000
0.5000 0.5000 0.5000

SmPu2Fe2 GGA-PBE optimized geometry; density of states at the Fermi level = 10.7 states/eV/f.u.; formation enthalpy at 0 K = 0.18 eV per atom
1.0
5.6661 -0.2894 -0.4459
-3.2676 4.6381 -0.4459
0.7051 1.2784 8.1054
Fe Pu Sm
4 4 2
Direct
0.3976 0.6024 0.7500
0.2036 0.7964 0.2500
0.6024 0.3976 0.2500
0.7964 0.2036 0.7500
0.6445 0.3557 0.5287
0.6443 0.3555 0.9713
0.3557 0.6445 0.0287
0.3555 0.6443 0.4713
0.9260 0.0740 0.2500
0.0740 0.9260 0.7500

Sm3ZnPt3 GGA-PBE optimized geometry; density of states at the Fermi level = 3.8 states/eV/f.u.; formation enthalpy at 0 K = -1.04 eV per atom
1.0
-1.8396 -1.6573 3.4613
0.5334 -3.8038 -4.1540
12.6514 -3.6567 4.9731
Sm Pt Zn
6 6 2
Direct
0.7970 0.5940 0.1060
0.2030 0.4060 0.8940
0.7970 0.5940 0.3940
0.5242 0.0484 0.2500
0.4758 0.9516 0.7500
0.2030 0.4060 0.6060
0.0843 0.1686 0.4104
0.2489 0.4978 0.2500
0.9157 0.8314 0.9104
0.9157 0.8314 0.5896
0.0843 0.1686 0.0896
0.7511 0.5022 0.7500
0.5000 0.0000 0.0000
0.5000 0.0000 0.5000

Pu2Rh2Au GGA-PBE optimized geometry; density of states at the Fermi level = 15.7 states/eV/f.u.; formation enthalpy at 0 K = -0.50 eV per atom
1.0
-2.8002 -1.4333 2.1060
-3.6300 -1.8918 -6.1139
3.3674 -6.5418 0.0249
Pu Au Rh
4 2 4
Direct
0.5000 0.1708 0.6708
0.5000 0.3292 0.1708
0.5000 0.6708 0.8292
0.5000 0.8292 0.3292
0.0000 0.5000 0.5000
0.0000 0.0000 0.0000
0.0000 0.8647 0.6353
0.0000 0.1353 0.3647
0.0000 0.3647 0.8647
0.0000 0.6353 0.1353

PaTeF GGA-PBE optimized geometry; energy above the most stable polymorph in this dataset = 312.6 meV/atom; density of states at the Fermi level = 4.6 states/eV/f.u.; E_form (uncorrected) = -1646 meV/atom
1.0
-2.3283 0.5170 -4.7877
-5.2568 -0.8392 -0.5221
-3.7887 6.9331 -0.3967
Te Pa F
2 2 2
Direct
0.5960 0.5960 0.2119
0.4040 0.4040 0.7881
0.7406 0.7406 0.7783
0.2594 0.2594 0.2217
0.1627 0.1627 0.5119
0.8373 0.8373 0.4881

TlTc3Ni GGA-PBE optimized geometry; energy above the most stable polymorph in this dataset = 0.0 meV/atom; density of states at the Fermi level = 8.9 states/eV/f.u.; formation enthalpy at 0 K = 1.40 eV per atom
1.0
4.5155 0.0000 0.0000
0.0000 4.5155 0.0000
0.0000 0.0000 4.5155
Tl Tc Ni
1 3 1
Direct
0.5000 0.5000 0.5000
0.0000 0.5000 0.0000
0.0000 0.0000 0.5000
0.5000 0.0000 0.0000
0.0000 0.0000 0.0000

TiPb3Cl GGA-PBE optimized geometry; energy above the most stable polymorph in this dataset = 0.0 meV/atom; density of states at the Fermi level = 4.9 states/eV/f.u.; E_form (uncorrected) = 81 meV/atom
1.0
-2.8177 -4.5156 1.1893
3.5016 -2.9622 -2.9511
3.0894 -0.7610 4.4296
Ti Pb Cl
1 3 1
Direct
0.0000 0.0000 0.0000
0.0000 0.0000 0.5000
0.0000 0.5000 0.0000
0.5000 0.0000 0.0000
0.5000 0.5000 0.5000

HfPtRh3 GGA-PBE optimized geometry; energy above the most stable polymorph in this dataset = 0.0 meV/atom; density of states at the Fermi level = 5.7 states/eV/f.u.; formation enthalpy at 0 K = -0.53 eV per atom
1.0
-3.6673 1.8079 -0.7945
-1.7107 -4.5976 -2.5654
1.0955 1.3476 8.9283
Rh Hf Pt
6 2 2
Direct
0.0020 0.7519 0.0040
0.9980 0.2481 0.9960
0.1926 0.1460 0.3852
0.8074 0.8540 0.6148
0.4008 0.8029 0.8016
0.5992 0.1971 0.1984
0.3810 0.2592 0.7620
0.6190 0.7408 0.2380
0.8078 0.3780 0.6156
0.1922 0.6220 0.3844

La2NiAu GGA-PBE optimized geometry; density of states at the Fermi level = 3.1 states/eV/f.u.; formation enthalpy at 0 K = -0.26 eV per atom
1.0
-6.2344 -3.6700 2.6949
0.4806 -5.0742 -5.7983
-0.7147 -6.5280 0.5143
Ni La Au
2 4 2
Direct
0.2500 0.7500 0.5000
0.5000 0.5000 0.0000
0.3750 0.4105 0.7500
0.5895 0.1250 0.2500
0.1605 0.6250 0.2500
0.8750 0.8395 0.7500
0.0000 0.0000 0.0000
0.7500 0.2500 0.5000

What did we get for magnetization? Answer: 0.00; 0.00; 0.19; 1.57; 8.00; 0.00; 10.24; 1.85; 4.14; 0.00; 0.00; 0.00 μB/f.u., in the order shown.
What did we get for calculated volume? Answer: 122.0; 565.5; 160.5; 53.2; 212.0; 314.0; 204.9; 180.5; 92.1; 162.2; 158.2; 219.7 Å³/cell, in the order shown.